(1)
This record from Alexandria describes a relaxed LiPr2Rh3O8 crystal. The functional is PBE-GGA.

The structure in POSCAR format:
```
LiPr2Rh3O8
1.0
-0.409 3.444 5.501
-5.549 3.020 1.540
-3.670 -2.298 5.009
O Pr Li Rh
8 2 1 3
Direct
0.270 0.689 0.771
0.270 0.775 0.181
0.280 0.280 0.159
0.733 0.733 0.802
0.270 0.270 0.771
0.775 0.270 0.181
0.689 0.270 0.771
0.775 0.775 0.181
0.038 0.038 0.886
0.521 0.521 0.437
0.855 0.855 0.434
0.502 0.502 0.983
0.502 0.012 0.983
0.012 0.502 0.983
```

Values from the calculation:
symmetry: R3m, No. 160
E_form (uncorrected): -24.0 eV/f.u.

---

(2)
This record from Alexandria describes a relaxed BaCu2AuO2 crystal. The functional is PBE-GGA.

The structure in POSCAR format:
```
BaCu2AuO2
1.0
-3.366 3.304 3.004
-3.167 -3.444 0.239
5.063 -0.987 6.759
Au Cu Ba O
2 4 2 4
Direct
0.750 0.008 0.515
0.250 0.992 0.485
0.750 0.588 0.674
0.250 0.412 0.326
0.250 0.570 0.642
0.750 0.430 0.358
0.250 0.204 0.907
0.750 0.796 0.093
0.987 0.339 0.179
0.013 0.661 0.821
0.487 0.661 0.821
0.513 0.339 0.179
```

Values from the calculation:
density of states at the Fermi level: 0.64 states/eV/atom
symmetry: P2_1/m, No. 11
E_form (uncorrected): -5.4 eV/f.u.

---

(3)
This record from Alexandria describes a relaxed BC2 crystal. The functional is PBE-GGA.

The structure in POSCAR format:
```
BC2
1.0
2.595 0.000 0.000
0.000 3.759 0.000
0.000 0.000 7.979
B C
4 8
Direct
0.500 0.778 0.344
0.000 0.278 0.490
0.000 0.972 0.990
0.500 0.472 0.844
0.500 0.521 0.508
0.000 0.229 0.826
0.000 0.021 0.326
0.000 0.974 0.682
0.500 0.474 0.151
0.500 0.776 0.651
0.500 0.729 0.008
0.000 0.276 0.182
```

Values from the calculation:
ΔH_f (0 K): 0.29 eV per atom
density of states at the Fermi level: 0.06 states/eV/atom
symmetry: Pnma, No. 62
distance to the lowest polymorph of the same formula: 55 meV/atom

---

(4)
This record from Alexandria describes a relaxed TbTh2Zr crystal. The functional is PBE-GGA.

The structure in POSCAR format:
```
TbTh2Zr
1.0
3.487 0.000 0.000
1.744 3.020 0.000
1.744 1.007 11.276
Th Zr Tb
2 1 1
Direct
0.253 0.253 0.240
0.080 0.080 0.759
0.668 0.668 0.995
0.498 0.498 0.506
```

Values from the calculation:
ΔH_f (0 K): 0.11 eV per atom
density of states at the Fermi level: 1.57 states/eV/atom
symmetry: R3m, No. 160
distance to the lowest polymorph of the same formula: 19 meV/atom

---

(5)
This record from Alexandria describes a relaxed NaVSb2 crystal. The functional is PBE-GGA.

The structure in POSCAR format:
```
NaVSb2
1.0
2.498 -0.319 4.337
-0.730 3.443 3.573
-2.432 -1.231 4.209
Na V Sb
1 1 2
Direct
0.000 0.000 0.000
0.500 0.500 0.500
0.750 0.750 0.750
0.250 0.250 0.250
```

Values from the calculation:
density of states at the Fermi level: 0.54 states/eV/atom
symmetry: Fm-3m, No. 225
distance to the lowest polymorph of the same formula: 184 meV/atom
E_form (uncorrected): 0.3 eV/f.u.

---

(6)
This record from Alexandria describes a relaxed Ce2DyPu3Se6 crystal. The functional is PBE-GGA.

The structure in POSCAR format:
```
Ce2DyPu3Se6
1.0
-3.488 -1.778 1.357
-2.178 -1.723 -7.855
6.437 -6.436 1.785
Ce Se Pu Dy
2 6 3 1
Direct
0.834 0.668 0.668
0.166 0.332 0.332
0.998 0.245 0.995
0.335 0.923 0.671
0.665 0.587 0.331
0.665 0.077 0.329
0.335 0.413 0.669
0.002 0.755 0.005
0.832 0.167 0.663
0.500 0.500 0.000
0.168 0.833 0.337
0.500 0.000 0.000
```

Values from the calculation:
density of states at the Fermi level: 2.73 states/eV/atom
symmetry: C2/m, No. 12
E_form (uncorrected): -20.1 eV/f.u.

---

(7)
This record from Alexandria describes a relaxed Nd4YEr crystal. The functional is PBE-GGA.

The structure in POSCAR format:
```
Nd4YEr
1.0
-0.458 3.459 -0.013
-6.708 -0.870 4.842
4.809 0.663 6.755
Nd Er Y
4 1 1
Direct
0.500 0.741 0.259
0.000 0.762 0.762
0.500 0.259 0.741
0.000 0.238 0.238
0.500 0.000 0.000
0.000 0.500 0.500
```

Values from the calculation:
ΔH_f (0 K): 0.62 eV per atom
density of states at the Fermi level: 1.66 states/eV/atom
symmetry: Cmmm, No. 65
distance to the lowest polymorph of the same formula: 606 meV/atom

---

(8)
This record from Alexandria describes a relaxed Ti3GaPd7 crystal. The functional is PBE-GGA.

The structure in POSCAR format:
```
Ti3GaPd7
1.0
4.757 -0.045 -0.058
-2.324 6.267 0.177
-2.324 -1.348 6.122
Pd Ti Ga
7 3 1
Direct
0.320 0.609 0.031
0.181 0.181 0.181
0.320 0.031 0.609
0.680 0.969 0.391
0.680 0.391 0.969
0.819 0.819 0.819
0.000 0.500 0.500
0.000 0.768 0.232
0.000 0.232 0.768
0.500 0.000 0.000
0.500 0.500 0.500
```

Values from the calculation:
ΔH_f (0 K): -0.39 eV per atom
density of states at the Fermi level: 0.63 states/eV/atom
symmetry: C2/m, No. 12

---

(9)
This record from Alexandria describes a relaxed Ce2SmBiN2 crystal. The functional is PBE-GGA.

The structure in POSCAR format:
```
Ce2SmBiN2
1.0
4.548 0.000 0.000
0.000 4.548 0.000
0.000 0.000 6.693
N Bi Ce Sm
2 1 2 1
Direct
0.000 0.500 0.000
0.500 0.000 0.000
0.000 0.000 0.500
0.500 0.500 0.224
0.500 0.500 0.776
0.000 0.000 0.000
```

Values from the calculation:
density of states at the Fermi level: 1.62 states/eV/atom
symmetry: P4/mmm, No. 123
E_form (uncorrected): -5.5 eV/f.u.

---

(10)
This record from Alexandria describes a relaxed NaCdO2 crystal. The functional is PBE-GGA.

The structure in POSCAR format:
```
NaCdO2
1.0
-2.013 -2.619 0.398
0.802 -2.934 -1.347
2.397 -3.278 4.459
O Cd Na
2 1 1
Direct
0.260 0.260 0.220
0.076 0.076 0.773
0.669 0.669 0.994
0.496 0.496 0.512
```

Values from the calculation:
density of states at the Fermi level: 0.62 states/eV/atom
symmetry: R3m, No. 160
E_form (uncorrected): -3.7 eV/f.u.

---

(11)
This record from Alexandria describes a relaxed RbU4Pd3Se12 crystal. The functional is PBE-GGA.

The structure in POSCAR format:
```
RbU4Pd3Se12
1.0
-5.156 -7.013 -1.806
5.126 1.799 -7.037
5.140 -1.829 7.020
Se Rb Pd U
12 1 3 4
Direct
0.682 0.834 0.516
0.834 0.152 0.318
0.516 0.682 0.834
0.152 0.318 0.834
0.318 0.834 0.152
0.834 0.516 0.682
0.682 0.166 0.848
0.484 0.318 0.166
0.848 0.682 0.166
0.166 0.848 0.682
0.166 0.484 0.318
0.318 0.166 0.484
0.000 0.000 0.000
0.500 0.000 0.500
0.000 0.500 0.500
0.500 0.500 0.000
0.000 0.500 0.000
0.500 0.000 0.000
0.000 0.000 0.500
0.500 0.500 0.500
```

Values from the calculation:
density of states at the Fermi level: 1.11 states/eV/atom
symmetry: Im-3, No. 204
E_form (uncorrected): -15.4 eV/f.u.

---

(12)
This record from Alexandria describes a relaxed Sr2TbOsO8 crystal. The functional is PBE-GGA.

The structure in POSCAR format:
```
Sr2TbOsO8
1.0
5.352 -0.033 -0.003
-0.014 5.144 -0.005
0.003 0.009 6.824
Sr O Tb Os
2 8 1 1
Direct
0.500 0.500 0.241
0.500 0.500 0.759
0.635 0.789 0.500
0.876 0.213 0.795
0.292 0.192 0.000
0.708 0.808 0.000
0.124 0.787 0.795
0.876 0.213 0.205
0.365 0.211 0.500
0.124 0.787 0.205
0.000 0.000 0.500
0.000 0.000 0.000
```

Values from the calculation:
symmetry: P2/m, No. 10
E_form (uncorrected): -23.2 eV/f.u.

---

Repeat the fifth record exactly.
This record from Alexandria describes a relaxed NaVSb2 crystal. The functional is PBE-GGA.

The structure in POSCAR format:
```
NaVSb2
1.0
2.498 -0.319 4.337
-0.730 3.443 3.573
-2.432 -1.231 4.209
Na V Sb
1 1 2
Direct
0.000 0.000 0.000
0.500 0.500 0.500
0.750 0.750 0.750
0.250 0.250 0.250
```

Values from the calculation:
density of states at the Fermi level: 0.54 states/eV/atom
symmetry: Fm-3m, No. 225
distance to the lowest polymorph of the same formula: 184 meV/atom
E_form (uncorrected): 0.3 eV/f.u.

---

- What is the formula in the fourth record?
  TbTh2Zr